MnReRh2, relaxed, DFT PBE; energy relative to the lowest polymorph listed for this composition = 0.074 eV per atom; symmetry = Pmm2; E_form = -31 meV per atom
1.0
2.690 0.000 0.000
0.000 3.784 0.000
0.000 0.000 5.417
Mn Re Rh
1 1 2
direct
0.000 0.000 0.000
0.500 0.500 0.250
0.000 0.000 0.498
0.500 0.500 0.770